BaZnPt2 | Alexandria via LeMat-Bulk | PBE-GGA | optimized geometry; formation energy from the elements = -0.1109 eV per atom; theoretical density = 11.42 g/cm³
1.0
4.5068 0.0000 0.0000
0.0000 4.5068 0.0000
0.0000 0.0000 4.2458
Ba Zn Pt
1 1 2
Direct
0.0000 0.0000 0.0000
0.5000 0.5000 0.0000
0.0000 0.5000 0.5000
0.5000 0.0000 0.5000